[1]
The following is a DFT calculation (PBE) of a geometry-optimized ScTe2AsN structure.

The value obtained for the uncorrected formation energy is 0.3274 eV per atom. Its space-group type is P4/mmm. Its raw total energy is -4.791 eV per atom. The magnetization is 0.00 μB per atom.

Unit cell a=5.661 b=5.661 c=3.905 alpha=90.00 beta=90.00 gamma=90.00
Positions (direct):
Sc1 0.000 0.000 0.000
Te1 0.000 0.500 0.000
Te2 0.500 0.000 0.000
As1 0.500 0.500 0.500
N1 0.000 0.000 0.500



[2]
The following is a DFT calculation (PBE) of a geometry-optimized KTl3Cd2 structure.

Its space-group type is Cmcm. Its raw total energy is -1.705 eV per atom. The magnetization is 0.00 μB per atom.

Unit cell a=7.794 b=7.794 c=6.276 alpha=90.00 beta=90.00 gamma=81.09
Positions (direct):
K1 0.132 0.868 0.750
K2 0.868 0.132 0.250
Tl1 0.089 0.605 0.250
Tl2 0.395 0.911 0.250
Tl3 0.473 0.527 0.750
Tl4 0.527 0.473 0.250
Tl5 0.605 0.089 0.750
Tl6 0.911 0.395 0.750
Cd1 0.258 0.258 0.000
Cd2 0.258 0.258 0.500
Cd3 0.742 0.742 0.000
Cd4 0.742 0.742 0.500



[3]
The following is a DFT calculation (PBE) of a geometry-optimized CaNiMo2 structure.

Its space-group type is F222. Its raw total energy is -6.825 eV per atom. The magnetization is 0.00 μB per atom.

Unit cell a=4.549 b=4.548 c=4.546 alpha=60.04 beta=60.00 gamma=59.96
Positions (direct):
Ca1 0.000 0.000 0.000
Ni1 0.250 0.250 0.250
Mo1 0.500 0.500 0.500
Mo2 0.750 0.750 0.750



[4]
The following is a DFT calculation (PBE) of a geometry-optimized K2CeSmO4 structure.

The value obtained for the uncorrected formation energy is -2.6243 eV per atom. Its space-group type is P2/m. Its raw total energy is -6.709 eV per atom. The magnetization is 0.13 μB per atom.

Unit cell a=6.266 b=3.618 c=6.628 alpha=90.00 beta=108.37 gamma=90.00
Positions (direct):
K1 0.000 0.000 0.000
K2 0.500 0.500 0.000
Ce1 0.000 0.500 0.500
Sm1 0.500 0.000 0.500
O1 0.232 0.000 0.690
O2 0.272 0.500 0.311
O3 0.728 0.500 0.689
O4 0.768 0.000 0.310



[5]
The following is a DFT calculation (PBE) of a geometry-optimized Pm6Pr2Ir structure.

Its space-group type is Cmmm. Its raw total energy is -5.197 eV per atom. The magnetization is 0.00 μB per atom.

Unit cell a=10.010 b=10.010 c=3.774 alpha=90.00 beta=90.00 gamma=123.90
Positions (direct):
Pm1 0.000 0.332 0.000
Pm2 0.000 0.668 0.000
Pm3 0.215 0.215 0.500
Pm4 0.332 0.000 0.000
Pm5 0.668 0.000 0.000
Pm6 0.785 0.785 0.500
Pr1 0.329 0.671 0.500
Pr2 0.671 0.329 0.500
Ir1 0.000 0.000 0.000



[6]
The following is a DFT calculation (PBE) of a geometry-optimized Ba2PdRu structure.

Its space-group type is I-42d. Its raw total energy is -4.082 eV per atom. The magnetization is 0.00 μB per atom.

Unit cell a=6.706 b=6.706 c=6.706 alpha=104.55 beta=104.55 gamma=119.83
Positions (direct):
Ba1 0.100 0.625 0.975
Ba2 0.375 0.350 0.475
Ba3 0.650 0.125 0.025
Ba4 0.875 0.900 0.525
Pd1 0.250 0.750 0.500
Pd2 0.500 0.500 0.000
Ru1 0.000 0.000 0.000
Ru2 0.750 0.250 0.500